Record 1
Mo4Br3 | Alexandria via LeMat-Bulk | PBE | optimized geometry; total energy = -5.37 eV/atom; uncorrected formation energy = 1.531 eV per atom; M_tot = 0.0 μB/cell; space-group type = P6/mmm; energy above the lowest structure with this stoichiometry = 1.117 eV/atom
1.0
-3.551 2.989 3.391
2.317 -4.912 1.883
3.679 2.401 1.736
Mo Br
4 3
Cartesian
0.245 1.556 3.756
1.026 0.670 0.484
2.201 -1.078 3.254
2.653 1.732 1.252
-1.775 1.494 1.696
-0.617 -0.962 2.637
1.158 -2.456 0.942

Record 2
Ca2MnCu | Alexandria via LeMat-Bulk | PBE | optimized geometry; total energy = -3.86 eV/atom; M_tot = 3.7 μB/cell; space-group type = R-3m; energy above the lowest structure with this stoichiometry = 0.294 eV/atom; calculated formation energy = 1.838 eV/f.u.
1.0
-4.956 7.736 0.282
-6.078 6.025 3.351
-2.972 8.014 3.379
Cu Ca Mn
1 2 1
Cartesian
-3.502 5.444 1.753
-7.093 11.027 3.552
-13.917 21.635 6.968
-10.505 16.331 5.260

Record 3
KTaCl6 | Alexandria via LeMat-Bulk | PBE | optimized geometry; total energy = -4.53 eV/atom; uncorrected formation energy = -1.527 eV per atom; M_tot = 0.0 μB/cell; space-group type = C2/m; energy above the lowest structure with this stoichiometry = 0.015 eV/atom
1.0
6.531 0.555 -1.106
-2.957 5.850 -1.106
0.081 0.144 6.447
K Cl Ta
1 6 1
Cartesian
0.000 0.000 0.000
0.874 5.010 3.428
2.734 4.899 0.653
-0.150 3.175 0.807
0.921 1.650 3.582
3.805 3.374 3.428
2.781 1.539 0.807
1.827 3.275 2.118

Record 4
KMgTc2Cl | Alexandria via LeMat-Bulk | PBE | optimized geometry; total energy = -3.72 eV/atom; uncorrected formation energy = 1.333 eV per atom; M_tot = 6.8 μB/cell; space-group type = P4/mmm
1.0
-4.838 0.928 -0.192
-0.648 -4.513 -5.454
-0.834 -3.694 3.155
Tc Cl Mg K
2 1 1 1
Cartesian
-0.417 -1.847 1.578
-2.419 0.464 -0.096
-3.160 -3.640 -1.246
0.000 0.000 0.000
-0.324 -2.256 -2.727

Record 5
HfPd3O | Alexandria via LeMat-Bulk | PBE | optimized geometry; total energy = -5.01 eV/atom; uncorrected formation energy = 1.088 eV per atom; M_tot = 0.0 μB/cell; space-group type = Pm-3m; energy above the lowest structure with this stoichiometry = 1.292 eV/atom
1.0
4.872 0.000 0.000
0.000 4.872 0.000
0.000 0.000 4.872
Hf O Pd
1 1 3
Cartesian
0.000 0.000 0.000
2.436 2.436 2.436
0.000 0.000 2.436
2.436 0.000 0.000
0.000 2.436 0.000

Record 6
Ba2PbCl | Alexandria via LeMat-Bulk | PBE | optimized geometry; total energy = -3.48 eV/atom; uncorrected formation energy = -1.127 eV per atom; M_tot = 0.0 μB/cell; space-group type = R3m; energy above the lowest structure with this stoichiometry = 0.100 eV/atom
1.0
4.673 0.000 0.000
2.336 4.047 0.000
2.336 1.349 8.865
Cl Pb Ba
1 1 2
Cartesian
4.673 2.698 4.515
7.009 4.047 8.846
2.336 1.349 2.184
2.336 1.349 6.619

Record 7
Y8AsP3Se4 | Alexandria via LeMat-Bulk | PBE | optimized geometry; total energy = -7.19 eV/atom; uncorrected formation energy = -1.778 eV per atom; M_tot = 0.0 μB/cell; space-group type = R-3m
1.0
8.099 0.000 0.000
0.000 8.183 0.054
-4.049 -4.045 5.730
Se Y P As
4 8 3 1
Cartesian
0.000 0.000 0.000
4.049 0.000 0.000
2.025 -2.023 2.865
-2.025 -2.023 2.865
1.992 1.999 5.681
4.049 3.993 2.819
-1.992 1.999 5.681
0.000 3.989 2.862
2.057 2.139 0.102
4.049 0.149 2.921
0.000 0.145 2.965
6.042 2.139 0.102
-2.025 2.069 2.892
2.025 2.069 2.892
4.049 4.092 0.027
0.000 4.092 0.027

Record 8
LiPuTlGa | Alexandria via LeMat-Bulk | PBE | optimized geometry; total energy = -5.55 eV/atom; M_tot = 5.5 μB/cell; space-group type = F-43m; calculated formation energy = -0.572 eV/f.u.
1.0
5.058 0.000 0.000
2.529 4.381 0.000
2.529 1.460 4.130
Pu Ga Li Tl
1 1 1 1
Cartesian
0.000 0.000 0.000
2.529 1.460 1.033
5.058 2.920 2.065
7.587 4.381 3.098

Record 9
AcTbPrIn | Alexandria via LeMat-Bulk | PBE | optimized geometry; total energy = -4.14 eV/atom; M_tot = 0.0 μB/cell; space-group type = F-43m; calculated formation energy = -0.285 eV/f.u.
1.0
5.686 0.000 0.000
2.843 4.924 0.000
2.843 1.641 4.642
Ac Tb In Pr
1 1 1 1
Cartesian
8.529 4.924 3.482
0.000 0.000 0.000
2.843 1.641 1.161
5.686 3.283 2.321

Record 10
Pm2MgHg6 | Alexandria via LeMat-Bulk | PBE | optimized geometry; total energy = -1.74 eV/atom; M_tot = 0.0 μB/cell; space-group type = C2/m; calculated formation energy = -2.790 eV/f.u.
1.0
5.687 -0.005 -0.003
0.054 6.773 0.031
0.054 3.401 5.857
Pm Hg Mg
2 6 1
Cartesian
1.086 3.395 1.965
4.710 6.774 3.920
1.820 5.250 4.805
3.964 1.864 1.079
1.833 8.305 4.806
3.976 3.387 3.727
1.820 6.782 2.158
3.976 4.919 1.080
0.000 0.000 0.000

Record 11
CrReS3 | Alexandria via LeMat-Bulk | PBE | optimized geometry; total energy = -5.90 eV/atom; uncorrected formation energy = 0.993 eV per atom; M_tot = 6.7 μB/cell; space-group type = Pm-3m; energy above the lowest structure with this stoichiometry = 0.000 eV/atom
1.0
-3.184 1.937 2.557
-2.854 -0.065 -3.504
-1.465 -4.083 1.269
S Re Cr
3 1 1
Cartesian
-1.427 -0.033 -1.752
-1.592 0.968 1.278
-0.732 -2.042 0.634
-3.751 -1.106 0.161
0.000 0.000 0.000

Record 12
SbPIr | Alexandria via LeMat-Bulk | PBE | optimized geometry; total energy = -6.69 eV/atom; uncorrected formation energy = -0.557 eV per atom; M_tot = 0.0 μB/cell; space-group type = P2_1/c; energy above the lowest structure with this stoichiometry = 0.000 eV/atom
1.0
6.231 0.000 0.000
0.000 6.271 -0.371
0.000 -2.060 5.956
Ir Sb P
4 4 4
Cartesian
3.222 4.009 0.938
6.124 2.979 3.917
0.107 1.232 1.669
3.008 0.202 4.647
3.885 0.235 2.102
0.770 5.006 0.505
5.460 -0.796 5.080
2.345 3.976 3.484
2.263 1.842 0.910
0.852 0.812 3.888
5.378 3.399 1.698
3.968 2.368 4.676